No. 1
RbLiSnO2 | GGA-PBE | relaxed

Cell lengths 3.497, 7.897, 7.612 Å; angles 82.67, 90.00, 102.79 degrees
Fractional positions:
Sn: 0.915 0.830 0.749
Sn: 0.085 0.170 0.251
O: 0.167 0.334 0.015
O: 0.656 0.311 0.332
O: 0.344 0.689 0.668
O: 0.833 0.666 0.985
Rb: 0.349 0.698 0.290
Rb: 0.651 0.302 0.710
Li: 0.289 0.578 0.919
Li: 0.711 0.422 0.081

Space group: C2/m
M_tot (μB/f.u.): 0.0
DOS at the Fermi energy (states/eV/f.u.): 0.0
Formation energy (no corrections) (eV/atom): -1.5153


No. 2
Rb2Li2SnO4 | GGA-PBE | relaxed

Cell lengths 3.384, 6.539, 6.377 Å; angles 108.64, 105.39, 90.00 degrees
Fractional positions:
O: 0.182 0.126 0.363
O: 0.484 0.205 0.967
O: 0.516 0.795 0.033
O: 0.818 0.874 0.637
Li: 0.680 0.988 0.360
Li: 0.320 0.012 0.640
Rb: 0.141 0.562 0.281
Rb: 0.859 0.438 0.719
Sn: 0.000 0.000 0.000

Space group: C2/m
M_tot (μB/f.u.): 0.0
DOS at the Fermi energy (states/eV/f.u.): 0.0
Formation energy (no corrections) (eV/atom): -1.6356


No. 3
RbSr2LiO | GGA-PBE | relaxed

Cell lengths 5.097, 7.412, 5.097 Å; angles 90.00, 90.00, 90.00 degrees
Fractional positions:
Sr: 0.000 0.000 0.500
Sr: 0.500 0.000 0.000
Rb: 0.500 0.500 0.500
O: 0.000 0.000 0.000
Li: 0.000 0.500 0.000

Space group: P4/mmm
M_tot (μB/f.u.): 0.0
DOS at the Fermi energy (states/eV/f.u.): 2.3
Formation energy (no corrections) (eV/atom): -0.7025


No. 4
RbLiTaO4 | GGA-PBE | relaxed

Cell lengths 5.873, 5.873, 5.938 Å; angles 119.64, 119.64, 90.00 degrees
Each line ends with the local moment (μB).
Fractional positions:
O: 0.474 0.619 0.751  0.22
O: 0.381 0.723 0.249  0.22
O: 0.868 0.526 0.249  0.22
O: 0.277 0.132 0.751  0.22
Li: 0.250 0.750 0.500  0.00
Ta: 0.500 0.500 0.000  -0.07
Rb: 0.000 0.000 0.000  0.00

Space group: I-4
M_tot (μB/f.u.): 1.0
DOS at the Fermi energy (states/eV/f.u.): 7.7
Formation energy (no corrections) (eV/atom): -2.1016


No. 5
RbLi2Ta2O7 | GGA-PBE | relaxed

Cell lengths 4.024, 4.024, 9.635 Å; angles 102.04, 102.05, 90.00 degrees
Each line ends with the local moment (μB).
Fractional positions:
O: 0.500 0.500 0.000  0.26
O: 0.387 0.887 0.774  0.12
O: 0.720 0.719 0.439  0.07
O: 0.887 0.387 0.774  0.12
O: 0.280 0.281 0.561  0.07
O: 0.113 0.613 0.226  0.12
O: 0.613 0.113 0.226  0.12
Li: 0.250 0.751 0.500  0.00
Li: 0.750 0.249 0.500  0.00
Rb: 0.000 0.000 0.000  0.00
Ta: 0.616 0.616 0.233  -0.04
Ta: 0.384 0.384 0.767  -0.04

Space group: I4/mmm
M_tot (μB/f.u.): 1.0
DOS at the Fermi energy (states/eV/f.u.): 5.5
Formation energy (no corrections) (eV/atom): -2.3842


No. 6
Rb2LiTaO | GGA-PBE | relaxed

Cell lengths 7.537, 3.895, 7.537 Å; angles 90.00, 90.00, 90.00 degrees
Each line ends with the local moment (μB).
Fractional positions:
Rb: 0.000 0.000 0.500  0.01
Rb: 0.500 0.000 0.000  0.01
Ta: 0.000 0.000 0.000  1.25
Li: 0.500 0.500 0.500  -0.01
O: 0.000 0.500 0.000  -0.05

Space group: P4/mmm
M_tot (μB/f.u.): 1.9
DOS at the Fermi energy (states/eV/f.u.): 2.9
Formation energy (no corrections) (eV/atom): -0.0329


No. 7
RbLi3Ta4O12 | GGA-PBE | relaxed

Cell lengths 6.703, 6.703, 6.703 Å; angles 109.47, 109.47, 109.47 degrees
Fractional positions:
Ta: 0.000 0.500 0.000
Ta: 0.000 0.000 0.500
Ta: 0.500 0.000 0.000
Ta: 0.500 0.500 0.500
O: 0.298 0.801 0.099
O: 0.702 0.199 0.901
O: 0.199 0.497 0.298
O: 0.099 0.298 0.801
O: 0.497 0.298 0.199
O: 0.801 0.099 0.298
O: 0.901 0.702 0.199
O: 0.503 0.702 0.801
O: 0.702 0.801 0.503
O: 0.298 0.199 0.497
O: 0.801 0.503 0.702
O: 0.199 0.901 0.702
Li: 0.500 0.000 0.500
Li: 0.500 0.500 0.000
Li: 0.000 0.500 0.500
Rb: 0.000 0.000 0.000

Space group: Im-3
M_tot (μB/f.u.): 0.0
DOS at the Fermi energy (states/eV/f.u.): 0.0
Formation energy (no corrections) (eV/atom): -2.6230


No. 8
RbLiTb2O4 | GGA-PBE | relaxed

Cell lengths 3.505, 6.155, 11.747 Å; angles 90.00, 90.00, 106.54 degrees
Fractional positions:
Tb: 0.365 0.731 0.942
Tb: 0.635 0.269 0.058
Tb: 0.365 0.731 0.558
Tb: 0.635 0.269 0.442
Rb: 0.099 0.198 0.750
Rb: 0.901 0.802 0.250
O: 0.398 0.797 0.750
O: 0.000 0.000 0.500
O: 0.750 0.500 0.901
O: 0.250 0.500 0.099
O: 0.602 0.203 0.250
O: 0.250 0.500 0.401
O: 0.750 0.500 0.599
O: 0.000 0.000 0.000
Li: 0.181 0.361 0.250
Li: 0.819 0.639 0.750

Space group: Cmcm
M_tot (μB/f.u.): 0.0
DOS at the Fermi energy (states/eV/f.u.): 0.0
Formation energy (no corrections) (eV/atom): -2.8125